A plane-wave DFT calculation with PBE-GGA was carried out for a geometry-optimized BaBiO structure.

Cell lengths 7.6366, 7.6366, 6.1226 Å; angles 90.00, 90.00, 149.84 degrees
Sites, in units of the cell vectors:
Ba  0.1664  0.8336  0.5000
Ba  0.8336  0.1664  0.0000
Bi  0.4268  0.5732  0.4951
Bi  0.5732  0.4268  0.9951
O  0.3120  0.6880  0.7406
O  0.6880  0.3120  0.2406

Values from the calculation:
Energy relative to the lowest polymorph listed for this composition, meV per atom: 53
Raw formation energy, eV per formula unit: -4.4
Spin magnetization, μB/f.u.: 0.000
Theoretical density, g cm⁻³: 6.71
SG: Cmc2_1, No. 36